DFT (PBE) results for crystalline CeYTeC at its relaxed geometry.

a b c (Å): 7.4479 7.4479 7.4479
angles (deg): 30.18 30.18 30.18
Closest atoms and distances in Å follow each position.
Positions (direct):
Ce  0.0000  0.0000  0.0000  3 C 2.58
Y  0.4589  0.4589  0.4589  3 C 2.63
Te  0.2269  0.2269  0.2269  3 Y 3.11, 3 Ce 3.19
C  0.7271  0.7271  0.7271  3 Ce 2.58, 3 Y 2.63

Computed properties:
As for the space group: R3m. The calculation puts the total energy at -6.9996 eV per atom. As for the formation energy from raw total energies: -809 meV/atom.